1.
# GGA-PBE Y2ZnTcH, optimized geometry
# Total energy: -5.8516 eV per atom
data_Y2ZnTcH
_chemical_formula_sum 'Y2 Zn1 Tc1 H1'
_cell_length_a 4.976
_cell_length_b 4.976
_cell_length_c 3.587
_cell_angle_alpha 90.00
_cell_angle_beta 90.00
_cell_angle_gamma 90.00
_symmetry_space_group_name_H-M 'P 4/m m m'
_symmetry_Int_Tables_number 123
_symmetry_space_group_name_Hall '-P 4 2'
loop_
_atom_site_label
_atom_site_type_symbol
_atom_site_fract_x
_atom_site_fract_y
_atom_site_fract_z
Y1 Y 0.000 0.500 0.000
Zn1 Zn 0.000 0.000 0.500
Tc1 Tc 0.500 0.500 0.500
H1 H 0.500 0.500 0.000

2.
# GGA-PBE La2SmGa4, optimized geometry
# Energy relative to the elements: -0.627 eV/atom
# Total energy: -4.4385 eV per atom
data_La2SmGa4
_chemical_formula_sum 'La4 Sm2 Ga8'
_cell_length_a 4.243
_cell_length_b 4.399
_cell_length_c 19.168
_cell_angle_alpha 90.00
_cell_angle_beta 90.00
_cell_angle_gamma 90.00
_symmetry_space_group_name_H-M 'I m m m'
_symmetry_Int_Tables_number 71
_symmetry_space_group_name_Hall '-I 2 2'
loop_
_atom_site_label
_atom_site_type_symbol
_atom_site_fract_x
_atom_site_fract_y
_atom_site_fract_z
La1 La 0.000 0.000 0.184
Sm1 Sm 0.000 0.500 0.500
Ga1 Ga 0.000 0.000 0.363
Ga2 Ga 0.000 0.500 0.064

3.
# GGA-PBE K4RbP, optimized geometry
# Energy relative to the elements: -0.104 eV/atom
# Total energy: -1.8981 eV per atom
data_K4RbP
_chemical_formula_sum 'K16 Rb4 P4'
_cell_length_a 21.517
_cell_length_b 9.133
_cell_length_c 7.364
_cell_angle_alpha 90.00
_cell_angle_beta 103.60
_cell_angle_gamma 90.00
_symmetry_space_group_name_H-M 'C 1 2/m 1'
_symmetry_Int_Tables_number 12
loop_
_symmetry_equiv_pos_as_xyz
'x,y,z'
'-x,-y,-z'
'-x,y,-z'
'x,-y,z'
'x+1/2,y+1/2,z'
'-x+1/2,-y+1/2,-z'
'-x+1/2,y+1/2,-z'
'x+1/2,-y+1/2,z'
loop_
_atom_site_label
_atom_site_type_symbol
_atom_site_fract_x
_atom_site_fract_y
_atom_site_fract_z
K1 K 0.000 0.231 0.000
K2 K 0.097 0.245 0.609
K3 K 0.159 0.000 0.219
Rb1 Rb 0.203 0.500 0.178
P1 P 0.010 0.000 0.355

4.
# GGA-PBE ZnIr4Br, optimized geometry
# Energy relative to the elements, uncorrected: 0.94 eV per atom
# Total energy: -5.4567 eV per atom
data_ZnIr4Br
_chemical_formula_sum 'Zn4 Ir16 Br4'
_cell_length_a 7.458
_cell_length_b 7.458
_cell_length_c 7.458
_cell_angle_alpha 90.00
_cell_angle_beta 90.00
_cell_angle_gamma 90.00
_symmetry_space_group_name_H-M 'F -4 3 m'
_symmetry_Int_Tables_number 216
_symmetry_space_group_name_Hall 'F -4 2 3'
loop_
_atom_site_label
_atom_site_type_symbol
_atom_site_fract_x
_atom_site_fract_y
_atom_site_fract_z
Zn1 Zn 0.000 0.000 0.000
Ir1 Ir 0.126 0.126 0.626
Br1 Br 0.250 0.250 0.250

5.
# GGA-PBE TiIn3Tc, optimized geometry
# Energy relative to the elements: 1.225 eV/atom
# Total energy: -4.0699 eV per atom
# Excess energy over the best structure of this formula in the dataset: 407.5 meV per atom
data_TiIn3Tc
_chemical_formula_sum 'Ti1 In3 Tc1'
_cell_length_a 5.223
_cell_length_b 5.223
_cell_length_c 5.223
_cell_angle_alpha 90.00
_cell_angle_beta 90.00
_cell_angle_gamma 90.00
_symmetry_space_group_name_H-M 'P m -3 m'
_symmetry_Int_Tables_number 221
_symmetry_space_group_name_Hall '-P 4 2 3'
loop_
_atom_site_label
_atom_site_type_symbol
_atom_site_fract_x
_atom_site_fract_y
_atom_site_fract_z
Ti1 Ti 0.000 0.000 0.000
In1 In 0.000 0.000 0.500
Tc1 Tc 0.500 0.500 0.500

6.
# GGA-PBE BeZnTe, optimized geometry
# Energy relative to the elements, uncorrected: 0.31 eV per atom
# Total energy: -2.3999 eV per atom
# Excess energy over the best structure of this formula in the dataset: 260.7 meV per atom
data_BeZnTe
_chemical_formula_sum 'Be2 Zn2 Te2'
_cell_length_a 3.653
_cell_length_b 3.653
_cell_length_c 11.042
_cell_angle_alpha 90.00
_cell_angle_beta 90.00
_cell_angle_gamma 90.00
_symmetry_space_group_name_H-M 'I 4 m m'
_symmetry_Int_Tables_number 107
_symmetry_space_group_name_Hall 'I 4 -2'
loop_
_atom_site_label
_atom_site_type_symbol
_atom_site_fract_x
_atom_site_fract_y
_atom_site_fract_z
Be1 Be 0.000 0.000 0.000
Zn1 Zn 0.000 0.000 0.796
Te1 Te 0.000 0.000 0.552

7.
# GGA-PBE BaNaMo2, optimized geometry
# Energy relative to the elements: 1.912 eV/atom
# Total energy: -4.3139 eV per atom
# Excess energy over the best structure of this formula in the dataset: 153.6 meV per atom
data_BaNaMo2
_chemical_formula_sum 'Ba4 Na4 Mo8'
_cell_length_a 7.055
_cell_length_b 7.055
_cell_length_c 7.055
_cell_angle_alpha 90.00
_cell_angle_beta 90.00
_cell_angle_gamma 90.00
_symmetry_space_group_name_H-M 'F m -3 m'
_symmetry_Int_Tables_number 225
_symmetry_space_group_name_Hall '-F 4 2 3'
loop_
_atom_site_label
_atom_site_type_symbol
_atom_site_fract_x
_atom_site_fract_y
_atom_site_fract_z
Ba1 Ba 0.000 0.000 0.000
Na1 Na 0.000 0.000 0.500
Mo1 Mo 0.250 0.250 0.250

8.
# GGA-PBE Cs5Cd2Hg12, optimized geometry
# Energy relative to the elements: -0.178 eV/atom
# Total energy: -0.6892 eV per atom
data_Cs5Cd2Hg12
_chemical_formula_sum 'Cs10 Cd4 Hg24'
_cell_length_a 20.992
_cell_length_b 8.277
_cell_length_c 9.156
_cell_angle_alpha 90.00
_cell_angle_beta 109.39
_cell_angle_gamma 90.00
_symmetry_space_group_name_H-M 'C 1 2/m 1'
_symmetry_Int_Tables_number 12
loop_
_symmetry_equiv_pos_as_xyz
'x,y,z'
'-x,-y,-z'
'-x,y,-z'
'x,-y,z'
'x+1/2,y+1/2,z'
'-x+1/2,-y+1/2,-z'
'-x+1/2,y+1/2,-z'
'x+1/2,-y+1/2,z'
loop_
_atom_site_label
_atom_site_type_symbol
_atom_site_fract_x
_atom_site_fract_y
_atom_site_fract_z
Cs1 Cs 0.000 0.000 0.000
Cs2 Cs 0.180 0.500 0.557
Cs3 Cs 0.225 0.000 0.907
Cd1 Cd 0.000 0.194 0.500
Hg1 Hg 0.040 0.500 0.178
Hg2 Hg 0.089 0.311 0.822
Hg3 Hg 0.124 0.000 0.460
Hg4 Hg 0.152 0.236 0.199

9.
# GGA-PBE Co2Pt5Rh5, optimized geometry
# Energy relative to the elements: -0.034 eV/atom
# Total energy: -6.7983 eV per atom
data_Co2Pt5Rh5
_chemical_formula_sum 'Co4 Pt10 Rh10'
_cell_length_a 11.584
_cell_length_b 3.855
_cell_length_c 8.634
_cell_angle_alpha 90.00
_cell_angle_beta 116.39
_cell_angle_gamma 90.00
_symmetry_space_group_name_H-M 'C 1 2/m 1'
_symmetry_Int_Tables_number 12
loop_
_symmetry_equiv_pos_as_xyz
'x,y,z'
'-x,-y,-z'
'-x,y,-z'
'x,-y,z'
'x+1/2,y+1/2,z'
'-x+1/2,-y+1/2,-z'
'-x+1/2,y+1/2,-z'
'x+1/2,-y+1/2,z'
loop_
_atom_site_label
_atom_site_type_symbol
_atom_site_fract_x
_atom_site_fract_y
_atom_site_fract_z
Co1 Co 0.085 0.000 0.250
Pt1 Pt 0.000 0.500 0.000
Pt2 Pt 0.081 0.500 0.752
Pt3 Pt 0.167 0.500 0.499
Rh1 Rh 0.000 0.000 0.500
Rh2 Rh 0.167 0.000 0.002
Rh3 Rh 0.244 0.500 0.246

10.
# GGA-PBE RhI2Br2, optimized geometry
# Energy relative to the elements, uncorrected: 0.14 eV per atom
# Total energy: -2.6173 eV per atom
# Excess energy over the best structure of this formula in the dataset: 0.0 meV per atom
data_RhI2Br2
_chemical_formula_sum 'Rh2 I4 Br4'
_cell_length_a 6.728
_cell_length_b 6.728
_cell_length_c 8.602
_cell_angle_alpha 90.00
_cell_angle_beta 90.00
_cell_angle_gamma 90.00
_symmetry_space_group_name_H-M 'P 4/m b m'
_symmetry_Int_Tables_number 127
_symmetry_space_group_name_Hall '-P 4 2ab'
loop_
_atom_site_label
_atom_site_type_symbol
_atom_site_fract_x
_atom_site_fract_y
_atom_site_fract_z
Rh1 Rh 0.000 0.000 0.000
I1 I 0.145 0.355 0.500
Br1 Br 0.178 0.678 0.000

11.
# GGA-PBE Mg3BiN, optimized geometry
# Energy relative to the elements, uncorrected: -0.40 eV per atom
# Total energy: -3.7956 eV per atom
data_Mg3BiN
_chemical_formula_sum 'Mg6 Bi2 N2'
_cell_length_a 6.221
_cell_length_b 5.794
_cell_length_c 7.486
_cell_angle_alpha 90.00
_cell_angle_beta 108.22
_cell_angle_gamma 90.00
_symmetry_space_group_name_H-M 'P 1 21 1'
_symmetry_Int_Tables_number 4
loop_
_symmetry_equiv_pos_as_xyz
'x,y,z'
'-x,y+1/2,-z'
loop_
_atom_site_label
_atom_site_type_symbol
_atom_site_fract_x
_atom_site_fract_y
_atom_site_fract_z
Mg1 Mg 0.171 0.000 0.167
Mg2 Mg 0.316 0.249 0.554
Mg3 Mg 0.316 0.748 0.554
Bi1 Bi 0.057 0.998 0.765
N1 N 0.435 0.999 0.405

12.
# GGA-PBE MgFeTeC2, optimized geometry
# Energy relative to the elements, uncorrected: 1.15 eV per atom
# Total energy: -5.1771 eV per atom
data_MgFeTeC2
_chemical_formula_sum 'Mg1 Fe1 Te1 C2'
_cell_length_a 3.767
_cell_length_b 3.767
_cell_length_c 5.728
_cell_angle_alpha 90.00
_cell_angle_beta 90.00
_cell_angle_gamma 90.00
_symmetry_space_group_name_H-M 'P 4/m m m'
_symmetry_Int_Tables_number 123
_symmetry_space_group_name_Hall '-P 4 2'
loop_
_atom_site_label
_atom_site_type_symbol
_atom_site_fract_x
_atom_site_fract_y
_atom_site_fract_z
Mg1 Mg 0.000 0.000 0.000
Fe1 Fe 0.000 0.000 0.500
Te1 Te 0.500 0.500 0.000
C1 C 0.000 0.500 0.500

13.
# GGA-PBE MnOsPt2, optimized geometry
# Energy relative to the elements: -0.059 eV/atom
# Total energy: -8.1797 eV per atom
data_MnOsPt2
_chemical_formula_sum 'Mn2 Os2 Pt4'
_cell_length_a 9.102
_cell_length_b 2.760
_cell_length_c 4.774
_cell_angle_alpha 90.00
_cell_angle_beta 100.83
_cell_angle_gamma 90.00
_symmetry_space_group_name_H-M 'C 1 m 1'
_symmetry_Int_Tables_number 8
loop_
_symmetry_equiv_pos_as_xyz
'x,y,z'
'x,-y,z'
'x+1/2,y+1/2,z'
'x+1/2,-y+1/2,z'
loop_
_atom_site_label
_atom_site_type_symbol
_atom_site_fract_x
_atom_site_fract_y
_atom_site_fract_z
Mn1 Mn 0.000 0.000 0.000
Os1 Os 0.264 0.000 0.747
Pt1 Pt 0.012 0.500 0.517
Pt2 Pt 0.249 0.500 0.236

14.
# GGA-PBE ScAsN2, optimized geometry
# Energy relative to the elements, uncorrected: 0.30 eV per atom
# Total energy: -6.6057 eV per atom
data_ScAsN2
_chemical_formula_sum 'Sc3 As3 N6'
_cell_length_a 3.0445
_cell_length_b 3.0445
_cell_length_c 19.3055
_cell_angle_alpha 90.00
_cell_angle_beta 90.00
_cell_angle_gamma 120.00
_symmetry_space_group_name_H-M 'R -3 m'
_symmetry_Int_Tables_number 166
_symmetry_space_group_name_Hall '-R 3 2"'
loop_
_atom_site_label
_atom_site_type_symbol
_atom_site_fract_x
_atom_site_fract_y
_atom_site_fract_z
Sc1 Sc 0.0000 0.0000 0.0000
As1 As 0.0000 0.0000 0.5000
N1 N 0.0000 0.0000 0.1128

15.
# GGA-PBE Sc2MnRh9, optimized geometry
# Energy relative to the elements: -0.444 eV/atom
# Total energy: -7.7774 eV per atom
data_Sc2MnRh9
_chemical_formula_sum 'Sc2 Mn1 Rh9'
_cell_length_a 3.887
_cell_length_b 3.887
_cell_length_c 11.741
_cell_angle_alpha 90.00
_cell_angle_beta 90.00
_cell_angle_gamma 90.00
_symmetry_space_group_name_H-M 'P 4/m m m'
_symmetry_Int_Tables_number 123
_symmetry_space_group_name_Hall '-P 4 2'
loop_
_atom_site_label
_atom_site_type_symbol
_atom_site_fract_x
_atom_site_fract_y
_atom_site_fract_z
Sc1 Sc 0.000 0.000 0.168
Mn1 Mn 0.000 0.000 0.500
Rh1 Rh 0.000 0.500 0.000
Rh2 Rh 0.000 0.500 0.342
Rh3 Rh 0.500 0.500 0.170
Rh4 Rh 0.500 0.500 0.500

16.
# GGA-PBE VNi2Br2, optimized geometry
# Energy relative to the elements, uncorrected: 0.47 eV per atom
# Total energy: -4.3319 eV per atom
# Excess energy over the best structure of this formula in the dataset: 0.0 meV per atom
data_VNi2Br2
_chemical_formula_sum 'V2 Ni4 Br4'
_cell_length_a 6.666
_cell_length_b 6.666
_cell_length_c 4.310
_cell_angle_alpha 90.00
_cell_angle_beta 90.00
_cell_angle_gamma 90.00
_symmetry_space_group_name_H-M 'P 4/m b m'
_symmetry_Int_Tables_number 127
_symmetry_space_group_name_Hall '-P 4 2ab'
loop_
_atom_site_label
_atom_site_type_symbol
_atom_site_fract_x
_atom_site_fract_y
_atom_site_fract_z
V1 V 0.000 0.000 0.000
Ni1 Ni 0.134 0.366 0.000
Br1 Br 0.215 0.285 0.500

17.
# GGA-PBE ZrHgCl4, optimized geometry
# Energy relative to the elements, uncorrected: -1.42 eV per atom
# Total energy: -4.1262 eV per atom
# Excess energy over the best structure of this formula in the dataset: 0.0 meV per atom
data_ZrHgCl4
_chemical_formula_sum 'Zr4 Hg4 Cl16'
_cell_length_a 19.431
_cell_length_b 7.992
_cell_length_c 6.779
_cell_angle_alpha 90.00
_cell_angle_beta 104.83
_cell_angle_gamma 90.00
_symmetry_space_group_name_H-M 'C 1 2/m 1'
_symmetry_Int_Tables_number 12
loop_
_symmetry_equiv_pos_as_xyz
'x,y,z'
'-x,-y,-z'
'-x,y,-z'
'x,-y,z'
'x+1/2,y+1/2,z'
'-x+1/2,-y+1/2,-z'
'-x+1/2,y+1/2,-z'
'x+1/2,-y+1/2,z'
loop_
_atom_site_label
_atom_site_type_symbol
_atom_site_fract_x
_atom_site_fract_y
_atom_site_fract_z
Zr1 Zr 0.088 0.000 0.386
Hg1 Hg 0.182 0.500 0.771
Cl1 Cl 0.000 0.199 0.500
Cl2 Cl 0.103 0.221 0.170
Cl3 Cl 0.189 0.000 0.659

18.
# GGA-PBE CeSm2Zn2In2, optimized geometry
# Energy relative to the elements: -0.255 eV/atom
# Total energy: -3.5972 eV per atom
data_CeSm2Zn2In2
_chemical_formula_sum 'Ce3 Sm6 Zn6 In6'
_cell_length_a 4.7730
_cell_length_b 4.7730
_cell_length_c 27.7556
_cell_angle_alpha 90.00
_cell_angle_beta 90.00
_cell_angle_gamma 120.00
_symmetry_space_group_name_H-M 'R -3 m'
_symmetry_Int_Tables_number 166
_symmetry_space_group_name_Hall '-R 3 2"'
loop_
_atom_site_label
_atom_site_type_symbol
_atom_site_fract_x
_atom_site_fract_y
_atom_site_fract_z
Ce1 Ce 0.0000 0.0000 0.0000
Sm1 Sm 0.0000 0.0000 0.1273
Zn1 Zn 0.0000 0.0000 0.3966
In1 In 0.0000 0.0000 0.2639

19.
# GGA-PBE HoErPtAu, optimized geometry
# Energy relative to the elements: -1.060 eV/atom
# Total energy: -5.6745 eV per atom
# Excess energy over the best structure of this formula in the dataset: 46.2 meV per atom
data_HoErPtAu
_chemical_formula_sum 'Ho4 Er4 Pt4 Au4'
_cell_length_a 7.044
_cell_length_b 7.044
_cell_length_c 7.044
_cell_angle_alpha 90.00
_cell_angle_beta 90.00
_cell_angle_gamma 90.00
_symmetry_space_group_name_H-M 'F -4 3 m'
_symmetry_Int_Tables_number 216
_symmetry_space_group_name_Hall 'F -4 2 3'
loop_
_atom_site_label
_atom_site_type_symbol
_atom_site_fract_x
_atom_site_fract_y
_atom_site_fract_z
Ho1 Ho 0.000 0.000 0.000
Er1 Er 0.000 0.000 0.500
Pt1 Pt 0.250 0.250 0.250
Au1 Au 0.250 0.250 0.750

20.
# GGA-PBE YIn2Rh, optimized geometry
# Energy relative to the elements: -0.217 eV/atom
# Total energy: -5.0405 eV per atom
data_YIn2Rh
_chemical_formula_sum 'Y3 In6 Rh3'
_cell_length_a 3.4929
_cell_length_b 3.4929
_cell_length_c 26.5525
_cell_angle_alpha 90.00
_cell_angle_beta 90.00
_cell_angle_gamma 120.00
_symmetry_space_group_name_H-M 'R -3 m'
_symmetry_Int_Tables_number 166
_symmetry_space_group_name_Hall '-R 3 2"'
loop_
_atom_site_label
_atom_site_type_symbol
_atom_site_fract_x
_atom_site_fract_y
_atom_site_fract_z
Y1 Y 0.0000 0.0000 0.0000
In1 In 0.0000 0.0000 0.2359
Rh1 Rh 0.0000 0.0000 0.5000